This record from Alexandria describes a geometry-optimized RbLiPCl2 structure. The functional is PBE-GGA.

Values from the calculation:
For the energy above the most stable polymorph in this dataset, the calculation gives 0.569 eV per atom. The calculation puts the total energy at -2.511 eV per atom.

POSCAR file:
```
RbLiPCl2
1.0
6.198 0.000 0.000
0.000 6.198 0.000
0.000 0.000 6.221
P Li Rb Cl
1 1 1 2
Cartesian
0.000 0.000 3.110 P
3.099 3.099 3.110 Li
0.000 0.000 0.000 Rb
0.000 3.099 0.000 Cl
3.099 0.000 0.000 Cl
```

---

This record from Alexandria describes a geometry-optimized LiReP2Cl structure. The functional is PBE-GGA.

Values from the calculation:
For the energy above the most stable polymorph in this dataset, the calculation gives 0.000 eV per atom. The calculation puts the total energy at -5.384 eV per atom.

POSCAR file:
```
LiReP2Cl
1.0
4.531 0.000 0.000
0.000 4.531 0.000
0.000 0.000 5.473
Re Li P Cl
1 1 2 1
Cartesian
0.000 0.000 0.000 Re
2.266 2.266 2.736 Li
0.000 2.266 0.000 P
2.266 0.000 0.000 P
0.000 0.000 2.736 Cl
```

---

Please write out number 2 again, unchanged.
This record from Alexandria describes a geometry-optimized LiReP2Cl structure. The functional is PBE-GGA.

Values from the calculation:
For the energy above the most stable polymorph in this dataset, the calculation gives 0.000 eV per atom. The calculation puts the total energy at -5.384 eV per atom.

POSCAR file:
```
LiReP2Cl
1.0
4.531 0.000 0.000
0.000 4.531 0.000
0.000 0.000 5.473
Re Li P Cl
1 1 2 1
Cartesian
0.000 0.000 0.000 Re
2.266 2.266 2.736 Li
0.000 2.266 0.000 P
2.266 0.000 0.000 P
0.000 0.000 2.736 Cl
```

---

What is the energy above the most stable polymorph in this dataset in the second record?
0.000 eV per atom